Record 1
{
  "formula": "CaCrSb2",
  "functional": "PBE",
  "state": "optimized geometry",
  "mass_density_kg_m3": 5412,
  "e_tot_ev_per_atom": -4.8104,
  "m_tot_mub_per_fu": 4.33,
  "polymorph_energy_mev_per_atom": 492,
  "e_form_raw_ev_per_atom": 0.157,
  "lattice_angstrom": [[0.000, 3.720, 3.720], [3.720, 0.000, 3.720], [3.720, 3.720, 0.000]],
  "species": ["Ca", "Cr", "Sb", "Sb"],
  "frac_coords": [[0.000, 0.000, 0.000], [0.250, 0.250, 0.250], [0.500, 0.500, 0.500], [0.750, 0.750, 0.750]]
}


Record 2
{
  "formula": "CaCrSb",
  "functional": "PBE",
  "state": "optimized geometry",
  "mass_density_kg_m3": 3982,
  "e_tot_ev_per_atom": -4.9462,
  "m_tot_mub_per_fu": 4.96,
  "e_form_raw_ev_per_atom": 0.303,
  "lattice_angstrom": [[0.000, 3.546, 3.546], [3.546, 0.000, 3.546], [3.546, 3.546, 0.000]],
  "species": ["Ca", "Cr", "Sb"],
  "frac_coords": [[0.000, 0.000, 0.000], [0.750, 0.750, 0.750], [0.250, 0.250, 0.250]]
}


Record 3
{
  "formula": "CaCr2Sb",
  "functional": "PBE",
  "state": "optimized geometry",
  "mass_density_kg_m3": 4481,
  "e_tot_ev_per_atom": -5.6745,
  "m_tot_mub_per_fu": 7.68,
  "e_form_raw_ev_per_atom": 0.668,
  "lattice_angstrom": [[1.767, 1.020, 9.111], [-1.767, 1.020, 9.111], [0.000, -2.040, 9.111]],
  "species": ["Ca", "Cr", "Cr", "Sb"],
  "frac_coords": [[0.000, 0.000, 0.000], [0.236, 0.236, 0.236], [0.764, 0.764, 0.764], [0.500, 0.500, 0.500]]
}